Record 1
A relaxed La2Nd3Tl3 crystal. Source: the Alexandria database, functional GGA-PBE. Values from VASP.

Structure (Quantum ESPRESSO input):
```
&SYSTEM
  ibrav = 0, nat = 8, ntyp = 3
/
ATOMIC_SPECIES
La 138.91 La.upf
Nd 144.24 Nd.upf
Tl 204.38 Tl.upf
CELL_PARAMETERS angstrom
-3.5494 2.9362 -0.1487
-2.0368 -2.6556 -3.8198
-2.5019 -6.1853 9.0103
ATOMIC_POSITIONS angstrom
La -3.7857 -4.4871 1.7622
La -4.3023 -1.4176 3.2797
Nd -1.7747 1.4681 -0.0743
Nd -4.0515 -4.6254 5.3761
Nd -4.0365 -1.2793 -0.3343
Tl -1.0184 -1.3278 -1.9099
Tl -1.3191 -1.5059 1.7503
Tl -6.7690 -4.3988 3.2915
```

Output
magnetic moment	0.000	μB/atom
calculated volume	250	Å³/f.u.
space group	No. 71
formation energy from the elements	-0.28	eV per atom
total DFT energy (no corrections)	-33.531	eV/cell


Record 2
A relaxed RbLa3Br crystal. Source: the Alexandria database, functional GGA-PBE. Values from VASP.

Structure (Quantum ESPRESSO input):
```
&SYSTEM
  ibrav = 0, nat = 5, ntyp = 3
/
ATOMIC_SPECIES
Br 79.90 Br.upf
Rb 85.47 Rb.upf
La 138.91 La.upf
CELL_PARAMETERS angstrom
-5.5718 -1.3909 -1.1714
1.4091 -0.9157 -5.6149
1.1494 -5.6194 1.2049
ATOMIC_POSITIONS angstrom
Br -1.5066 -3.9630 -2.7907
Rb 0.0000 0.0000 0.0000
La -2.7859 -0.6954 -0.5857
La 0.5747 -2.8097 0.6025
La 0.7045 -0.4579 -2.8075
```

Output
energy above the lowest structure with this stoichiometry	1.007	eV/atom
magnetic moment	0.000	μB/atom
calculated volume	201	Å³/f.u.
uncorrected formation energy	912	meV per atom
space group	No. 221
total DFT energy (no corrections)	-12.861	eV/cell


Record 3
A relaxed MgZnInGa crystal. Source: the Alexandria database, functional GGA-PBE. Values from VASP.

Structure (Quantum ESPRESSO input):
```
&SYSTEM
  ibrav = 0, nat = 4, ntyp = 4
/
ATOMIC_SPECIES
Ga 69.72 Ga.upf
In 114.82 In.upf
Mg 24.30 Mg.upf
Zn 65.41 Zn.upf
CELL_PARAMETERS angstrom
-4.7450 0.9580 -0.5867
-3.1662 -3.6553 -0.6248
-3.1675 -1.1132 3.5362
ATOMIC_POSITIONS angstrom
Ga -2.7697 -0.9526 0.5812
In 0.0000 0.0000 0.0000
Mg -5.5393 -1.9053 1.1624
Zn -8.3090 -2.8579 1.7435
```

Output
magnetic moment	0.000	μB/atom
calculated volume	82	Å³/f.u.
space group	No. 216
formation energy from the elements	0.02	eV per atom
total DFT energy (no corrections)	-8.547	eV/cell


Record 4
A relaxed Sn3IF crystal. Source: the Alexandria database, functional GGA-PBE. Values from VASP.

Structure (Quantum ESPRESSO input):
```
&SYSTEM
  ibrav = 0, nat = 5, ntyp = 3
/
ATOMIC_SPECIES
F 19.00 F.upf
Sn 118.71 Sn.upf
I 126.90 I.upf
CELL_PARAMETERS angstrom
-1.5675 2.8102 -4.0880
-4.5406 0.9139 2.3693
1.9979 4.2817 2.1773
ATOMIC_POSITIONS angstrom
F 0.0000 0.0000 0.0000
Sn -0.7837 1.4051 -2.0440
Sn 0.9989 2.1409 1.0887
Sn -2.2703 0.4569 1.1846
I -2.0551 4.0029 0.2293
```

Output
energy above the lowest structure with this stoichiometry	0.000	eV/atom
magnetic moment	0.000	μB/atom
calculated volume	141	Å³/f.u.
uncorrected formation energy	-162	meV per atom
space group	No. 221
total DFT energy (no corrections)	-16.238	eV/cell


Record 5
A relaxed Ta2InPt crystal. Source: the Alexandria database, functional GGA-PBE. Values from VASP.

Structure (Quantum ESPRESSO input):
```
&SYSTEM
  ibrav = 0, nat = 8, ntyp = 3
/
ATOMIC_SPECIES
Pt 195.08 Pt.upf
Ta 180.95 Ta.upf
In 114.82 In.upf
CELL_PARAMETERS angstrom
3.9311 0.0000 0.0000
0.0000 3.9311 0.0000
1.9655 1.9655 10.1346
ATOMIC_POSITIONS angstrom
Pt 3.9311 1.9655 5.0673
Pt 0.0000 0.0000 0.0000
Ta 2.9483 2.9519 7.6009
Ta 4.9139 4.9103 7.6009
Ta 0.9863 2.9483 2.5336
Ta 2.9448 0.9828 2.5336
In 1.9655 1.9655 0.0000
In 1.9655 3.9311 5.0673
```

Output
magnetic moment	0.000	μB/atom
calculated volume	78	Å³/f.u.
space group	No. 122
formation energy from the elements	0.31	eV per atom
total DFT energy (no corrections)	-62.476	eV/cell


Record 6
A relaxed Cs2DyTlCl6 crystal. Source: the Alexandria database, functional GGA-PBE. Values from VASP.

Structure (Quantum ESPRESSO input):
```
&SYSTEM
  ibrav = 0, nat = 20, ntyp = 4
/
ATOMIC_SPECIES
Dy 162.50 Dy.upf
Cl 35.45 Cl.upf
Cs 132.91 Cs.upf
Tl 204.38 Tl.upf
CELL_PARAMETERS angstrom
-1.2093 -2.8065 7.3286
-2.6854 -7.0879 -3.1575
10.5995 -4.1027 0.1951
ATOMIC_POSITIONS angstrom
Dy 4.6951 -3.4546 3.7618
Dy -1.3427 -3.5440 -1.5787
Cl 6.8211 -6.7860 -0.7805
Cl 4.5620 -11.0954 0.1383
Cl -0.1163 -7.2111 5.1467
Cl 2.1428 -2.9018 4.2279
Cl 4.2174 -6.0295 4.2404
Cl -0.3848 -2.3294 0.5879
Cl 2.5825 -10.1633 3.1711
Cl 2.4875 -7.9677 0.1259
Cl -1.7522 -5.7574 -0.1669
Cl 4.1223 -3.8338 1.1951
Cl 7.0896 -11.6678 3.7784
Cl 8.4570 -8.2398 4.5331
Cs 0.8722 -5.5361 2.1968
Cs 6.6114 -6.2350 7.1863
Cs 5.8326 -8.4610 2.1694
Cs 0.0934 -7.7622 -2.8200
Tl -0.6046 -1.4033 3.6643
Tl 3.9571 -5.5953 -1.4812
```

Output
magnetic moment	0.000	μB/atom
calculated volume	371	Å³/f.u.
uncorrected formation energy	-1979	meV per atom
space group	No. 14
total DFT energy (no corrections)	-79.089	eV/cell


Record 7
A relaxed Ti3PtN crystal. Source: the Alexandria database, functional GGA-PBE. Values from VASP.

Structure (Quantum ESPRESSO input):
```
&SYSTEM
  ibrav = 0, nat = 20, ntyp = 3
/
ATOMIC_SPECIES
Ti 47.87 Ti.upf
N 14.01 N.upf
Pt 195.08 Pt.upf
CELL_PARAMETERS angstrom
-9.7100 -6.2752 2.2431
-1.3963 -7.1845 0.7006
6.3118 1.1163 3.6017
ATOMIC_POSITIONS angstrom
Ti -7.5499 -6.1551 3.0990
Ti -6.0127 -8.2451 4.4091
Ti -2.8790 -8.3638 3.8859
Ti 1.2181 -4.0982 2.1364
Ti -0.1981 -6.2336 4.0424
Ti 2.7553 -6.1882 3.4464
Ti -0.4063 -2.1514 0.7996
Ti -1.9156 -3.9795 2.6596
Ti -4.3882 -10.1920 5.7459
Ti -4.9746 -9.3038 1.8695
Ti -4.5965 -6.1097 2.5030
Ti 0.1800 -3.0395 4.6759
N -7.3907 -11.9813 3.7312
N -4.5447 -9.5860 3.8579
N 2.5962 -0.3621 2.8143
N -0.2499 -2.7573 2.6876
Pt 2.7889 -3.5544 4.1652
Pt -1.9260 -6.6420 1.9611
Pt -2.8685 -5.7013 4.5844
Pt -7.5835 -8.7890 2.3803
```

Output
magnetic moment	0.000	μB/atom
calculated volume	74	Å³/f.u.
uncorrected formation energy	-949	meV per atom
space group	No. 15
total DFT energy (no corrections)	-171.188	eV/cell